# NdZnGa2Pt | Alexandria via LeMat-Bulk | PBE-GGA | optimized geometry
# DFT formation energy = -0.70 eV/atom
# Crystal system = tetragonal
data_NdZnGa2Pt
_chemical_formula_sum 'Nd2 Zn2 Ga4 Pt2'
_space_group_name_H-M_alt 'I -4 m 2'
_space_group_IT_number 119
_space_group_name_Hall 'I -4 -2'
_cell_length_a 4.2703
_cell_length_b 4.2703
_cell_length_c 10.5661
_cell_angle_alpha 90.00
_cell_angle_beta 90.00
_cell_angle_gamma 90.00
loop_
_atom_site_label
_atom_site_type_symbol
_atom_site_fract_x
_atom_site_fract_y
_atom_site_fract_z
Nd1 Nd 0.0000 0.0000 0.0000
Zn1 Zn 0.0000 0.5000 0.7500
Ga1 Ga 0.0000 0.0000 0.3818
Pt1 Pt 0.0000 0.5000 0.2500

=====

# La5Nd4Ho | Alexandria via LeMat-Bulk | PBE-GGA | optimized geometry
# DFT formation energy = 0.03 eV/atom
# Relative energy among the computed polymorphs = 0.016 eV per atom
# Crystal system = monoclinic
data_La5Nd4Ho
_chemical_formula_sum 'La10 Nd8 Ho2'
_space_group_name_H-M_alt 'C 1 2/m 1'
_space_group_IT_number 12
_space_group_name_Hall '-C 2y'
_cell_length_a 17.7010
_cell_length_b 3.6486
_cell_length_c 11.7624
_cell_angle_alpha 90.00
_cell_angle_beta 109.50
_cell_angle_gamma 90.00
loop_
_atom_site_label
_atom_site_type_symbol
_atom_site_fract_x
_atom_site_fract_y
_atom_site_fract_z
La1 La 0.0000 0.0000 0.0000
La2 La 0.1913 0.5000 0.0863
La3 La 0.2055 0.5000 0.6071
Nd1 Nd 0.0838 0.5000 0.2948
Nd2 Nd 0.1058 0.0000 0.7981
Ho1 Ho 0.0000 0.0000 0.5000

=====

# Ce3PuRu | Alexandria via LeMat-Bulk | PBE-GGA | optimized geometry
# DFT formation energy = -0.10 eV/atom
# Crystal system = monoclinic
data_Ce3PuRu
_chemical_formula_sum 'Ce6 Pu2 Ru2'
_space_group_name_H-M_alt 'P 1 21/m 1'
_space_group_IT_number 11
_space_group_name_Hall '-P 2yb'
_cell_length_a 5.9471
_cell_length_b 4.7931
_cell_length_c 8.6299
_cell_angle_alpha 90.00
_cell_angle_beta 92.70
_cell_angle_gamma 90.00
loop_
_atom_site_label
_atom_site_type_symbol
_atom_site_fract_x
_atom_site_fract_y
_atom_site_fract_z
Ce1 Ce 0.1988 0.2500 0.2495
Ce2 Ce 0.2723 0.7500 0.9522
Ce3 Ce 0.2781 0.7500 0.5212
Pu1 Pu 0.0575 0.2500 0.7243
Ru1 Ru 0.4887 0.7500 0.2073

=====

# Cs2HoCl5 | Alexandria via LeMat-Bulk | PBE-GGA | optimized geometry
# Formation energy (no corrections) = -2.206 eV per atom
# Relative energy among the computed polymorphs = 0.000 eV per atom
# Crystal system = orthorhombic
data_Cs2HoCl5
_chemical_formula_sum 'Cs8 Ho4 Cl20'
_space_group_name_H-M_alt 'P n m a'
_space_group_IT_number 62
_space_group_name_Hall '-P 2ac 2n'
_cell_length_a 9.7976
_cell_length_b 7.5550
_cell_length_c 15.4806
_cell_angle_alpha 90.00
_cell_angle_beta 90.00
_cell_angle_gamma 90.00
loop_
_atom_site_label
_atom_site_type_symbol
_atom_site_fract_x
_atom_site_fract_y
_atom_site_fract_z
Cs1 Cs 0.0275 0.2500 0.2122
Cs2 Cs 0.1634 0.7500 0.4151
Ho1 Ho 0.1778 0.7500 0.0631
Cl1 Cl 0.0000 0.0000 0.0000
Cl2 Cl 0.0233 0.7500 0.1993
Cl3 Cl 0.1671 0.5017 0.6158
Cl4 Cl 0.2177 0.2500 0.4059

=====

no.,total magnetization (μB per atom)
1,0.000
2,0.000
3,1.275
4,0.000